Record 1
This record from Alexandria via LeMat-Bulk describes a relaxed Er2TmMgBi4 crystal. The functional is PBE-GGA.

Cell lengths 7.706, 4.403, 7.716 Å; angles 90.00, 109.67, 90.00 degrees
Fractional positions:
Er 0.000 0.000 0.000
Er 0.000 0.500 0.500
Tm 0.500 0.000 0.500
Mg 0.500 0.500 0.000
Bi 0.252 0.500 0.250
Bi 0.256 0.000 0.755
Bi 0.744 0.000 0.245
Bi 0.748 0.500 0.750

Results
* energy: -35.31 eV for the cell shown
* energy of formation from the pure elements: -0.575 eV per atom
* spin magnetization: 0.000 μB/f.u.
* space-group type: P2/m (10)

***

Record 2
This record from Alexandria via LeMat-Bulk describes a relaxed Dy2PuAsN5 crystal. The functional is PBE-GGA.

Cell lengths 7.223, 7.223, 10.178 Å; angles 90.00, 90.00, 152.97 degrees
Fractional positions:
Dy 0.116 0.884 0.500
Dy 0.132 0.868 0.085
Dy 0.868 0.132 0.585
Dy 0.884 0.116 0.000
Pu 0.212 0.788 0.801
Pu 0.788 0.212 0.301
As 0.497 0.503 0.273
As 0.503 0.497 0.773
N 0.045 0.955 0.851
N 0.289 0.711 0.446
N 0.301 0.699 0.160
N 0.375 0.625 0.816
N 0.496 0.504 0.594
N 0.504 0.496 0.094
N 0.625 0.375 0.316
N 0.699 0.301 0.660
N 0.711 0.289 0.946
N 0.955 0.045 0.351

Results
* energy: -154.83 eV for the cell shown
* spin magnetization: 3.625 μB/f.u.
* space-group type: Cmc2_1 (36)

***

Record 3
This record from Alexandria via LeMat-Bulk describes a relaxed NaCoGe2 crystal. The functional is PBE-GGA.

Cell lengths 4.406, 4.406, 4.406 Å; angles 60.00, 60.00, 60.00 degrees
Fractional positions:
Na 0.000 0.000 0.000
Co 0.500 0.500 0.500
Ge 0.250 0.250 0.250
Ge 0.750 0.750 0.750

Results
* energy: -16.84 eV for the cell shown
* energy of formation from the pure elements: 0.205 eV per atom
* spin magnetization: 0.000 μB/f.u.
* space-group type: Fm-3m (225)
* relative energy among the computed polymorphs: 0.314 eV/atom